DFT (PBE) results for an optimized crystal structure of Li2Al2Tc.

Geometry as extended XYZ:
```
10
Lattice="7.089 0.000 0.000 0.000 7.089 0.000 0.000 0.000 2.775" Properties=species:S:1:pos:R:3 pbc="T T T"
Tc 0.000 0.000 0.000
Al 4.586 1.041 0.000
Al 2.503 6.048 0.000
Al 6.048 4.586 0.000
Li 4.632 6.001 1.388
Tc 3.545 3.545 0.000
Li 2.457 1.088 1.388
Li 1.088 4.632 1.388
Al 1.041 2.503 0.000
Li 6.001 2.457 1.388
```

Spin magnetization (μB/cell): 0.0
Calculated formation energy (kJ per mole of atoms): 6
Crystal system: tetragonal